1.
# Al3PPd, optimized geometry, DFT PBE-GGA
data_Al3PPd
_space_group_name_H-M_alt 'P 1'
_space_group_IT_number 1
_cell_length_a 4.606
_cell_length_b 4.606
_cell_length_c 4.606
_cell_angle_alpha 90.00
_cell_angle_beta 90.00
_cell_angle_gamma 90.00
loop_
_space_group_symop_operation_xyz
'x,y,z'
loop_
_atom_site_label
_atom_site_type_symbol
_atom_site_fract_x
_atom_site_fract_y
_atom_site_fract_z
_atom_site_occupancy
Al1 Al 0.000 0.000 0.500 1
Pd1 Pd 0.500 0.500 0.500 1
Al2 Al 0.000 0.500 0.000 1
P1 P 0.000 0.000 0.000 1
Al3 Al 0.500 0.000 0.000 1
# DFT total energy (eV per atom): -3.976
# Total moment (μB/cell): 0.0
# Space group: Pm-3m (221)
# Energy above the lowest structure with this stoichiometry (meV/atom): 205.9
# Formation enthalpy at 0 K (eV per atom): 0.390



2.
# AlPPd5, optimized geometry, DFT PBE-GGA
data_AlPPd5
_space_group_name_H-M_alt 'P 1'
_space_group_IT_number 1
_cell_length_a 6.354
_cell_length_b 6.354
_cell_length_c 7.961
_cell_angle_alpha 60.05
_cell_angle_beta 60.05
_cell_angle_gamma 80.43
loop_
_space_group_symop_operation_xyz
'x,y,z'
loop_
_atom_site_label
_atom_site_type_symbol
_atom_site_fract_x
_atom_site_fract_y
_atom_site_fract_z
_atom_site_occupancy
Pd1 Pd 0.845 0.335 0.528 1
Pd2 Pd 0.665 0.155 0.972 1
Al1 Al 0.466 0.534 0.750 1
Pd3 Pd 0.841 0.159 0.250 1
Pd4 Pd 0.159 0.841 0.750 1
Pd5 Pd 0.335 0.845 0.028 1
P1 P 0.000 0.000 0.500 1
P2 P 0.000 0.000 0.000 1
Pd6 Pd 0.647 0.737 0.335 1
Al2 Al 0.534 0.466 0.250 1
Pd7 Pd 0.155 0.665 0.472 1
Pd8 Pd 0.263 0.353 0.165 1
Pd9 Pd 0.737 0.647 0.835 1
Pd10 Pd 0.353 0.263 0.665 1
# DFT total energy (eV per atom): -5.312
# Total moment (μB/cell): 0.0
# Space group: C2/c (15)
# Formation enthalpy at 0 K (eV per atom): -0.296